No. 1
An optimized crystal structure of RbGeAu2. Source: Alexandria via LeMat-Bulk, functional PBE.

abc: 3.4994 3.4994 8.1564
angles: 90.00 90.00 90.00
With the nearest neighbours (Å) after each atom.
Sites, in units of the cell vectors:
Rb1 0.0000 0.0000 0.0000  4 Rb 3.50, 8 Au 3.60
Ge1 0.0000 0.0000 0.5000  8 Au 2.88
Au1 0.5000 0.5000 0.3199  4 Ge 2.88, 1 Au 2.94
Au2 0.5000 0.5000 0.6801  4 Ge 2.88, 1 Au 2.94

**Spin magnetization**: 0.00 μB per formula unit
**ΔH_f (0 K)**: 32 meV per atom
**N(E_F)**: 0.34 states/eV per atom
**VASP energy**: -3.0027 eV/atom

No. 2
An optimized crystal structure of K3Ta2S11. Source: Alexandria via LeMat-Bulk, functional PBE.

abc: 18.5220 18.5220 12.6198
angles: 100.78 100.78 25.38
With the nearest neighbours (Å) after each atom.
Sites, in units of the cell vectors:
K1 0.1191 0.8150 0.8940  7 S 3.27-3.63
K2 0.1413 0.4400 0.7430  8 S 3.26-3.58
K3 0.1524 0.6052 0.1701  9 S 3.31-3.61
K4 0.1850 0.8809 0.6060  7 S 3.27-3.63
K5 0.3948 0.8476 0.3299  9 S 3.31-3.61
K6 0.4400 0.1413 0.2430  8 S 3.26-3.58
K7 0.5600 0.8587 0.7570  8 S 3.26-3.58
K8 0.6052 0.1524 0.6701  9 S 3.31-3.61
K9 0.8150 0.1191 0.3940  7 S 3.27-3.63
K10 0.8476 0.3948 0.8299  9 S 3.31-3.61
K11 0.8587 0.5600 0.2570  8 S 3.26-3.58
K12 0.8809 0.1850 0.1060  7 S 3.27-3.63
Ta1 0.0393 0.6039 0.4202  5 S 2.24-2.50
Ta2 0.1094 0.7241 0.5681  5 S 2.26-2.48
Ta3 0.2759 0.8906 0.9319  5 S 2.26-2.48
Ta4 0.3961 0.9607 0.0798  5 S 2.24-2.50
Ta5 0.6039 0.0393 0.9202  5 S 2.24-2.50
Ta6 0.7241 0.1094 0.0681  5 S 2.26-2.48
Ta7 0.8906 0.2759 0.4319  5 S 2.26-2.48
Ta8 0.9607 0.3961 0.5798  5 S 2.24-2.50
S1 0.0050 0.7142 0.6419  1 S 2.10
S2 0.0241 0.0712 0.8611  1 Ta 2.26
S3 0.0406 0.5513 0.2446  1 Ta 2.24
S4 0.0712 0.0241 0.3611  1 Ta 2.26
S5 0.0782 0.1658 0.5947  1 S 2.09
S6 0.0840 0.2503 0.0523  1 S 2.09
S7 0.0925 0.3762 0.5039  1 S 2.10
S8 0.1658 0.0782 0.0947  1 S 2.09
S9 0.2212 0.5718 0.7212  1 S 2.10
S10 0.2292 0.6657 0.4184  1 S 2.09
S11 0.2503 0.0840 0.5523  1 S 2.09
S12 0.2858 0.9950 0.8581  1 S 2.10
S13 0.3069 0.3286 0.4998  1 S 2.10
S14 0.3096 0.4272 0.4468  1 S 2.10
S15 0.3286 0.3069 0.9998  1 S 2.10
S16 0.3343 0.7708 0.0816  1 S 2.09
S17 0.3753 0.5502 0.5626  1 S 2.09
S18 0.3762 0.0925 0.0039  1 S 2.10
S19 0.4272 0.3096 0.9468  1 S 2.10
S20 0.4282 0.7788 0.7788  1 S 2.10
S21 0.4487 0.9594 0.2554  1 Ta 2.24
S22 0.4498 0.6247 0.9374  1 S 2.09
S23 0.5502 0.3753 0.0626  1 S 2.09
S24 0.5513 0.0406 0.7446  1 Ta 2.24
S25 0.5718 0.2212 0.2212  1 S 2.10
S26 0.5728 0.6904 0.0532  1 S 2.10
S27 0.6238 0.9075 0.9961  1 S 2.10
S28 0.6247 0.4498 0.4374  1 S 2.09
S29 0.6657 0.2292 0.9184  1 S 2.09
S30 0.6714 0.6931 0.0002  1 S 2.10
S31 0.6904 0.5728 0.5532  1 S 2.10
S32 0.6931 0.6714 0.5002  1 S 2.10
S33 0.7142 0.0050 0.1419  1 S 2.10
S34 0.7497 0.9160 0.4477  1 S 2.09
S35 0.7708 0.3343 0.5816  1 S 2.09
S36 0.7788 0.4282 0.2788  1 S 2.10
S37 0.8342 0.9218 0.9053  1 S 2.09
S38 0.9075 0.6238 0.4961  1 S 2.10
S39 0.9160 0.7497 0.9477  1 S 2.09
S40 0.9218 0.8342 0.4053  1 S 2.09
S41 0.9288 0.9759 0.6389  1 Ta 2.26
S42 0.9594 0.4487 0.7554  1 Ta 2.24
S43 0.9759 0.9288 0.1389  1 Ta 2.26
S44 0.9950 0.2858 0.3581  1 S 2.10

**Spin magnetization**: 0.00 μB per formula unit
**Distance to the lowest polymorph of the same formula**: 0 kJ/mol of formula units
**Formation energy from raw total energies**: -13.8 eV/f.u.
**N(E_F)**: 0.00 states/eV per atom
**VASP energy**: -5.3869 eV/atom

No. 3
An optimized crystal structure of Ce5Os2Au2. Source: Alexandria via LeMat-Bulk, functional PBE.

abc: 8.5294 8.5294 7.6355
angles: 90.00 90.00 53.32
With the nearest neighbours (Å) after each atom.
Sites, in units of the cell vectors:
Ce1 0.0000 0.0000 0.0000  4 Os 2.97-2.98, 2 Au 3.26
Ce2 0.0488 0.7021 0.6701  3 Os 2.82-3.04, 3 Au 3.08-3.16
Ce3 0.2021 0.5488 0.1701  3 Os 2.82-3.04, 3 Au 3.08-3.16
Ce4 0.2979 0.9512 0.6701  3 Os 2.82-3.04, 3 Au 3.08-3.16
Ce5 0.4512 0.7979 0.1701  3 Os 2.82-3.04, 3 Au 3.08-3.16
Ce6 0.5000 0.5000 0.5000  4 Os 2.97-2.98, 2 Au 3.26
Ce7 0.5488 0.2021 0.8299  3 Os 2.82-3.04, 3 Au 3.08-3.16
Ce8 0.7021 0.0488 0.3299  3 Os 2.82-3.04, 3 Au 3.08-3.16
Ce9 0.7979 0.4512 0.8299  3 Os 2.82-3.04, 3 Au 3.08-3.16
Ce10 0.9512 0.2979 0.3299  3 Os 2.82-3.04, 3 Au 3.08-3.16
Os1 0.1350 0.8650 0.3652  8 Ce 2.82-3.04, 1 Os 2.92
Os2 0.3650 0.6350 0.8652  8 Ce 2.82-3.04, 1 Os 2.92
Os3 0.6350 0.3650 0.1348  8 Ce 2.82-3.04, 1 Os 2.92
Os4 0.8650 0.1350 0.6348  8 Ce 2.82-3.04, 1 Os 2.92
Au1 0.2140 0.2140 0.0000  7 Ce 3.08-3.26
Au2 0.2860 0.2860 0.5000  7 Ce 3.08-3.26
Au3 0.7140 0.7140 0.5000  7 Ce 3.08-3.26
Au4 0.7860 0.7860 0.0000  7 Ce 3.08-3.26

**Spin magnetization**: 2.01 μB per formula unit
**Distance to the lowest polymorph of the same formula**: 0 kJ/mol of formula units
**ΔH_f (0 K)**: -398 meV per atom
**N(E_F)**: 2.39 states/eV per atom
**VASP energy**: -6.9180 eV/atom

No. 4
An optimized crystal structure of NaY2Au2. Source: Alexandria via LeMat-Bulk, functional PBE.

abc: 7.9321 7.9321 7.9321
angles: 146.59 146.59 47.97
With the nearest neighbours (Å) after each atom.
Sites, in units of the cell vectors:
Na1 0.0000 0.0000 0.0000  8 Y 3.72
Y1 0.3723 0.3723 0.0000  4 Au 2.89
Y2 0.6277 0.6277 0.0000  4 Au 2.89
Au1 0.2500 0.7500 0.5000  4 Y 2.89, 4 Au 3.22
Au2 0.7500 0.2500 0.5000  4 Y 2.89, 4 Au 3.22

**Spin magnetization**: 0.00 μB per formula unit
**Distance to the lowest polymorph of the same formula**: 206 kJ/mol of formula units
**ΔH_f (0 K)**: -205 meV per atom
**N(E_F)**: 1.01 states/eV per atom
**VASP energy**: -4.3652 eV/atom